Entry 1:
Sm2PuP3 | PBE | optimized geometry

a b c (Å): 9.0911 9.0911 9.0911
angles (deg): 154.12 154.12 36.92
Sites, in units of the cell vectors:
Sm1 0.1676 0.1676 0.0000
Sm2 0.8324 0.8324 0.0000
Pu1 0.5000 0.5000 0.0000
P1 0.0000 0.0000 0.0000
P2 0.3361 0.3361 0.0000
P3 0.6639 0.6639 0.0000

Output
E_form = -1.416 eV/atom
polymorph energy (0 for the lowest one) = 0.6 kJ/mol of atoms
total moment = 4.90 μB per cell
DOS at the Fermi energy = 11.09 states/eV per cell

Entry 2:
Sm3PuP4 | PBE | optimized geometry

a b c (Å): 5.7682 5.7682 5.7682
angles (deg): 90.00 90.00 90.00
Sites, in units of the cell vectors:
Sm1 0.0000 0.0000 0.5000
Sm2 0.0000 0.5000 0.0000
Sm3 0.5000 0.0000 0.0000
Pu1 0.5000 0.5000 0.5000
P1 0.0000 0.0000 0.0000
P2 0.0000 0.5000 0.5000
P3 0.5000 0.0000 0.5000
P4 0.5000 0.5000 0.0000

Output
E_form = -1.449 eV/atom
polymorph energy (0 for the lowest one) = 0.6 kJ/mol of atoms
total moment = 4.88 μB per cell
DOS at the Fermi energy = 15.33 states/eV per cell